A plane-wave DFT calculation with GGA-PBE was carried out for Mg5H2Ir after structural relaxation.

Lattice parameters (Å, degrees): 4.9317 4.9321 5.5641 93.53 93.55 108.19
Last column: nearest neighbours and their distance in Å.
Element x y z (fractional)
Mg 0.5604 0.8983 0.7974  2 H 2.48
Mg 0.1122 0.0633 0.5335  2 H 2.51-2.61, 1 Ir 2.80
H 0.3006 0.6385 0.4138  1 Ir 1.70
Mg 0.3974 0.3479 0.0626  2 H 2.51-2.60, 1 Ir 2.80
Mg 0.0101 0.7359 0.0633  2 H 2.51-2.61, 1 Ir 2.79
Mg 0.7253 0.4500 0.5332  2 H 2.51-2.61, 1 Ir 2.79
Ir 0.5612 0.8991 0.2978  2 H 1.70
H 0.8212 0.1599 0.1812  1 Ir 1.70

Space-group type: C2/m (12)
DFT total energy (eV/atom): -3.16
Total magnetic moment (μB/atom): 0.00
ρ (g/cm3): 4.101